# 1
Computed, not measured: NaTc2BiO8 after structural relaxation at the PBE level of DFT.

Computed properties:
Calculated total energy: -82.5 eV/cell
Crystal system: tetragonal

abc: 5.316 5.316 6.995
angles: 112.33 112.33 90.00
Site moments in Bohr magnetons follow the coordinates.
Fractional positions:
O  0.309  0.908  0.333  -0.02
O  0.177  0.576  0.843  0.02
O  0.666  0.267  0.843  0.02
O  0.733  0.823  0.157  0.02
O  0.424  0.334  0.157  0.02
O  0.092  0.976  0.667  -0.02
O  0.024  0.425  0.333  -0.02
O  0.575  0.691  0.667  -0.02
Na  0.750  0.250  0.500  0.00
Tc  0.250  0.750  0.500  -0.26
Tc  0.500  0.500  0.000  0.27
Bi  0.000  0.000  0.000  0.01

***

# 2
Computed, not measured: Pr2Cu17 after structural relaxation at the PBE level of DFT.

Computed properties:
Calculated total energy: -81.1 eV/cell
Energy relative to the elements: -1.9 eV per formula unit
Crystal system: trigonal

abc: 6.528 6.528 6.528
angles: 82.89 82.89 82.89
Fractional positions:
Cu  0.343  0.343  0.848
Cu  0.000  0.500  0.000
Cu  0.343  0.848  0.343
Cu  0.657  0.152  0.657
Cu  0.000  0.000  0.500
Cu  0.000  0.290  0.710
Cu  0.290  0.710  0.000
Cu  0.000  0.710  0.290
Cu  0.290  0.000  0.710
Cu  0.710  0.290  0.000
Cu  0.500  0.000  0.000
Cu  0.097  0.097  0.097
Cu  0.848  0.343  0.343
Cu  0.152  0.657  0.657
Cu  0.903  0.903  0.903
Cu  0.657  0.657  0.152
Cu  0.710  0.000  0.290
Pr  0.658  0.658  0.658
Pr  0.342  0.342  0.342